{"formula": "MnSbS2Cl", "functional": "GGA-PBE", "state": "relaxed", "raw_formation_energy_ev_per_atom": 0.321, "relative_energy_ev_per_fu": 4.47, "sg": "No. 123", "n_ef_per_ev_fu": 2.95, "cell": [[5.1214, 0.0000, 0.0000], [0.0000, 5.1214, 0.0000], [0.0000, 0.0000, 5.0819]], "species": ["Mn", "Sb", "S", "S", "Cl"], "frac_coords": [[0.0000, 0.0000, 0.0000], [0.5000, 0.5000, 0.5000], [0.0000, 0.5000, 0.5000], [0.5000, 0.0000, 0.5000], [0.5000, 0.5000, 0.0000]]}

{"formula": "Ce3Ni2P4Ru2", "functional": "GGA-PBE", "state": "relaxed", "e_form_ev_per_atom": -1.077, "sg": "No. 164", "n_ef_per_ev_fu": 10.22, "cell": [[3.9357, 0.0000, 0.0000], [-1.9678, 3.4084, 0.0000], [0.0000, 0.0000, 14.5096]], "species": ["Ce", "Ce", "Ce", "Ni", "Ni", "P", "P", "P", "P", "Ru", "Ru"], "frac_coords": [[0.0000, 0.0000, 0.0000], [0.0000, 0.0000, 0.2735], [0.0000, 0.0000, 0.7265], [0.3333, 0.6667, 0.1398], [0.6667, 0.3333, 0.8602], [0.3333, 0.6667, 0.3987], [0.3333, 0.6667, 0.8650], [0.6667, 0.3333, 0.1350], [0.6667, 0.3333, 0.6013], [0.3333, 0.6667, 0.5636], [0.6667, 0.3333, 0.4364]]}

{"formula": "AcTeAs", "functional": "GGA-PBE", "state": "relaxed", "raw_formation_energy_ev_per_atom": -0.603, "relative_energy_ev_per_fu": 1.95, "sg": "No. 156", "n_ef_per_ev_fu": 3.21, "cell": [[5.1750, 0.0000, 0.0000], [-2.5875, 4.4817, 0.0000], [0.0000, 0.0000, 4.3907]], "species": ["Ac", "Te", "As"], "frac_coords": [[0.0000, 0.0000, 0.0000], [0.3333, 0.6667, 0.5054], [0.6667, 0.3333, 0.0166]]}

Total magnetization in μB per formula unit, matching the order above: 5.343 0.732 0.000